## ScSi4Os (PBE)

Data for ScSi4Os after structural relaxation.

Structure (POSCAR):
```
ScSi4Os
1.0
8.009 0.000 0.000
0.000 4.679 -0.080
0.000 0.078 4.568
Sc Si Os
2 8 2
Cartesian
0.000 0.000 0.000 Sc
4.004 2.340 -0.040 Sc
2.629 4.679 -0.080 Si
6.634 2.418 4.528 Si
6.664 0.040 2.284 Si
2.659 2.378 2.244 Si
5.380 0.078 4.568 Si
1.375 2.339 -0.040 Si
1.345 4.718 2.204 Si
5.350 2.380 2.244 Si
0.000 2.379 2.244 Os
4.004 0.039 2.284 Os
```

Uncorrected formation energy ... -0.24 eV/atom
Total DFT energy (no corrections) ... -6.7866 eV/atom

***

## Cs2PtI4Cl2 (PBE)

Data for Cs2PtI4Cl2 after structural relaxation.

Structure (POSCAR):
```
Cs2PtI4Cl2
1.0
8.137 -0.153 -0.221
-4.040 7.065 0.221
-4.040 -2.275 6.692
Cs Pt I Cl
2 1 4 2
Cartesian
0.028 4.653 1.728 Cs
0.028 -0.017 4.964 Cs
0.000 0.000 0.000 Pt
-4.040 4.837 1.764 I
-1.898 3.567 5.149 I
-4.040 -0.048 5.149 I
1.954 1.069 1.543 I
-6.441 3.818 5.511 Cl
-1.639 0.972 1.403 Cl
```

Uncorrected formation energy ... -0.95 eV/atom
Total DFT energy (no corrections) ... -2.9090 eV/atom

***

## TaRhI3 (PBE)

Data for TaRhI3 after structural relaxation.

Structure (POSCAR):
```
TaRhI3
1.0
-3.540 -3.238 -2.650
-1.726 -2.032 4.789
-3.812 3.927 0.293
I Rh Ta
3 1 1
Cartesian
-0.863 -1.016 2.394 I
-1.906 1.964 0.147 I
-1.770 -1.619 -1.325 I
-4.539 -0.671 1.216 Rh
0.000 0.000 0.000 Ta
```

Uncorrected formation energy ... 1.04 eV/atom
Total DFT energy (no corrections) ... -3.7298 eV/atom

***

## Mg2PtC2 (PBE)

Data for Mg2PtC2 after structural relaxation.

Structure (POSCAR):
```
Mg2PtC2
1.0
6.499 0.000 0.000
0.000 6.499 0.000
0.000 0.000 3.052
Mg C Pt
4 4 2
Cartesian
1.441 4.690 1.526 Mg
4.690 5.058 1.526 Mg
5.058 1.808 1.526 Mg
1.808 1.441 1.526 Mg
2.791 6.040 0.000 C
6.040 3.708 0.000 C
3.708 0.458 0.000 C
0.458 2.791 0.000 C
0.000 0.000 0.000 Pt
3.249 3.249 0.000 Pt
```

Formation energy ... 0.219 eV/atom
Total DFT energy (no corrections) ... -5.3164 eV/atom

***

## BeV3H3 (PBE)

Data for BeV3H3 after structural relaxation.

Structure (POSCAR):
```
BeV3H3
1.0
-0.452 -0.789 -4.812
-1.729 -4.493 0.899
-4.560 1.782 0.136
Be H V
2 6 6
Cartesian
-3.370 -1.751 -1.888 Be
0.000 0.000 0.000 Be
-2.393 0.693 -1.135 H
-2.004 -1.801 0.484 H
-1.522 -3.765 -1.732 H
-2.619 0.299 -3.541 H
-4.284 -0.910 0.552 H
-0.658 -1.518 -2.181 H
-2.712 -0.233 0.293 V
-3.576 -2.479 0.743 V
-3.646 0.941 -2.304 V
-1.203 -2.839 -3.160 V
-1.366 0.051 -2.372 V
-0.977 -2.444 -0.753 V
```

Total DFT energy (no corrections) ... -5.9922 eV/atom

***

## Tb2Sm2Y2Ho (PBE)

Data for Tb2Sm2Y2Ho after structural relaxation.

Structure (POSCAR):
```
Tb2Sm2Y2Ho
1.0
5.700 0.000 0.000
2.850 4.936 0.000
2.850 1.645 8.167
Tb Sm Y Ho
2 2 2 1
Cartesian
8.550 4.936 6.977 Tb
2.850 1.645 1.190 Tb
2.850 1.645 4.741 Sm
8.550 4.936 3.426 Sm
5.700 3.291 2.301 Y
5.700 3.291 5.866 Y
0.000 0.000 0.000 Ho
```

Formation energy ... 0.138 eV/atom
Total DFT energy (no corrections) ... -5.0339 eV/atom

***

## AgPtW2 (PBE)

Data for AgPtW2 after structural relaxation.

Structure (POSCAR):
```
AgPtW2
1.0
5.101 0.003 -0.004
2.177 4.613 0.004
-3.632 -2.319 2.729
Ag W Pt
1 2 1
Cartesian
2.554 -0.004 1.363 Ag
0.001 0.001 0.000 W
3.638 2.308 0.000 W
1.092 2.301 1.367 Pt
```

Formation energy ... 0.334 eV/atom
Total DFT energy (no corrections) ... -8.3655 eV/atom

***

## KAl2HgGe (PBE)

Data for KAl2HgGe after structural relaxation.

Structure (POSCAR):
```
KAl2HgGe
1.0
6.090 0.000 0.000
0.000 5.688 0.000
0.000 0.000 6.090
K Ge Hg Al
1 1 1 2
Cartesian
0.000 0.000 0.000 K
0.000 2.844 0.000 Ge
3.045 2.844 3.045 Hg
0.000 0.000 3.045 Al
3.045 0.000 0.000 Al
```

Formation energy ... 1.407 eV/atom
Total DFT energy (no corrections) ... -1.2931 eV/atom

***

## Pu2AlTc (PBE)

Data for Pu2AlTc after structural relaxation.

Structure (POSCAR):
```
Pu2AlTc
1.0
5.175 0.000 0.000
0.000 3.545 0.000
0.000 0.000 3.545
Al Tc Pu
1 1 2
Cartesian
2.587 1.772 1.772 Al
2.587 0.000 0.000 Tc
0.000 0.000 1.772 Pu
0.000 1.772 0.000 Pu
```

Formation energy ... 0.218 eV/atom
Total DFT energy (no corrections) ... -10.4749 eV/atom

***

## AlSbCl2 (PBE)

Data for AlSbCl2 after structural relaxation.

Structure (POSCAR):
```
AlSbCl2
1.0
-1.385 -1.338 2.827
3.264 -0.591 -0.836
2.793 8.076 5.190
Sb Al Cl
1 1 2
Cartesian
1.409 4.076 2.619 Sb
3.081 5.226 4.974 Al
2.621 7.578 4.870 Cl
1.751 1.382 2.503 Cl
```

Uncorrected formation energy ... -0.31 eV/atom
Total DFT energy (no corrections) ... -3.2018 eV/atom

***

## Ce2DyHo3Sb6 (PBE)

Data for Ce2DyHo3Sb6 after structural relaxation.

Structure (POSCAR):
```
Ce2DyHo3Sb6
1.0
-2.116 -1.359 3.630
1.631 -8.396 -2.193
8.679 3.088 3.529
Ce Dy Ho Sb
2 1 3 6
Cartesian
5.128 -4.680 3.923 Ce
3.066 -1.987 1.043 Ce
-1.058 -0.680 1.815 Dy
-0.243 -4.878 0.719 Ho
4.287 -0.468 5.010 Ho
3.906 -6.199 -0.044 Ho
6.585 -6.133 1.542 Sb
2.420 -4.815 2.294 Sb
1.609 -0.534 3.424 Sb
6.940 -0.379 6.590 Sb
1.254 -6.289 -1.624 Sb
5.774 -1.852 2.672 Sb
```

Uncorrected formation energy ... -1.09 eV/atom
Total DFT energy (no corrections) ... -5.6712 eV/atom

***

## Ca2Dy2Ag3 (PBE)

Data for Ca2Dy2Ag3 after structural relaxation.

Structure (POSCAR):
```
Ca2Dy2Ag3
1.0
4.982 -0.001 -1.391
-2.685 4.422 -0.002
-0.220 -0.131 8.832
Ca Dy Ag
2 2 3
Cartesian
2.717 1.651 0.112 Ca
-0.639 2.640 7.327 Ca
0.835 0.509 2.991 Dy
1.243 3.781 4.448 Dy
0.000 0.000 0.000 Ag
1.621 0.984 5.804 Ag
0.457 3.306 1.635 Ag
```

Formation energy ... -0.171 eV/atom
Total DFT energy (no corrections) ... -3.2794 eV/atom

***

Calculated density in kg/m³, matching the order above: 6740, 4585, 6702, 6898, 4661, 6947, 17344, 2883, 15652, 3652, 7591, 6280
V in Å³ per cell, matching the order above: 171, 376, 165, 129, 117, 230, 64, 211, 65, 100, 365, 193